Entry 1:
Compound: CsNaPuSe3
Source: OQMD
Functional: GGA-PBE
Structure: optimized geometry

```
12
Lattice="2.202 -7.866 0.000 2.202 7.866 0.000 0.000 0.000 11.322" Properties=species:S:1:pos:R:3 pbc="T T T"
Cs 2.202 4.229 8.491
Cs 2.202 -4.229 2.830
Na 2.202 6.995 2.830
Na 2.202 -6.995 8.491
Pu 2.202 0.000 0.000
Pu 2.202 0.000 5.661
Se 2.202 6.033 0.271
Se 2.202 6.033 5.390
Se 2.202 0.760 2.830
Se 2.202 -0.760 8.491
Se 2.202 -6.033 5.931
Se 2.202 -6.033 11.051
```

Calculated values
Total DFT energy (no corrections)   -5.690 eV/atom

Entry 2:
Compound: HfBeNbRe
Source: OQMD
Functional: GGA-PBE
Structure: optimized geometry

```
4
Lattice="0.000 3.184 3.184 3.184 0.000 3.184 3.184 3.184 0.000" Properties=species:S:1:pos:R:3 pbc="T T T"
Hf 0.000 0.000 0.000
Be 1.592 1.592 1.592
Nb 3.184 3.184 3.184
Re 4.776 4.776 4.776
```

Calculated values
ΔE to the lowest computed polymorph   0.0 meV/atom

Entry 3:
Compound: Li3Ta3Se2O12
Source: OQMD
Functional: GGA-PBE
Structure: optimized geometry

```
80
Lattice="-5.865 5.865 5.865 5.865 -5.865 5.865 5.865 5.865 -5.865" Properties=species:S:1:pos:R:3 pbc="T T T"
Li 8.797 1.466 0.000
Li 5.865 -2.932 4.398
Li 4.398 5.865 -2.932
Li 4.398 0.000 2.932
Li 2.932 4.398 0.000
Li 5.865 2.932 1.466
Li 0.000 2.932 4.398
Li 2.932 1.466 5.865
Li 1.466 5.865 2.932
Li 1.466 0.000 8.797
Li 0.000 8.797 1.466
Li -2.932 4.398 5.865
Ta 2.932 1.466 0.000
Ta 5.865 2.932 -1.466
Ta 1.466 0.000 2.932
Ta 7.331 0.000 2.932
Ta 0.000 2.932 1.466
Ta 2.932 -1.466 5.865
Ta 2.932 7.331 0.000
Ta 5.865 2.932 4.398
Ta -1.466 5.865 2.932
Ta 4.398 5.865 2.932
Ta 0.000 2.932 7.331
Ta 2.932 4.398 5.865
Se 0.000 0.000 0.000
Se 2.932 2.932 -2.932
Se 2.932 -2.932 2.932
Se 5.865 0.000 0.000
Se -2.932 2.932 2.932
Se 0.000 5.865 0.000
Se 0.000 0.000 5.865
Se 2.932 2.932 2.932
O 1.833 -0.268 0.818
O 6.964 3.751 -3.200
O 5.597 -0.818 1.833
O 9.064 -1.099 2.114
O 7.698 0.268 0.818
O 6.964 -2.114 3.200
O 0.818 1.833 -0.268
O 7.979 2.665 -1.099
O 3.751 3.200 -1.099
O 5.046 1.833 0.268
O -0.268 0.818 1.833
O 3.200 -1.099 3.751
O 5.597 5.046 -1.833
O 3.200 1.099 2.114
O 5.046 -1.833 5.597
O 3.751 -3.200 6.964
O 2.114 3.200 1.099
O 6.683 4.031 0.268
O 1.833 5.597 -0.818
O 6.964 2.114 2.665
O 3.200 6.964 -2.114
O 5.597 0.818 4.031
O 1.099 2.114 3.200
O 1.833 0.268 5.046
O 4.031 5.597 0.818
O 4.766 3.751 2.665
O 0.268 5.046 1.833
O 2.665 -1.099 7.979
O -1.099 3.751 3.200
O 4.031 0.268 6.683
O -0.818 1.833 5.597
O 3.751 2.665 4.766
O 2.114 9.064 -1.099
O 0.818 7.698 0.268
O 2.665 4.766 3.751
O 0.268 0.818 7.698
O 2.665 6.964 2.114
O 6.132 5.046 4.031
O 0.818 4.031 5.597
O 2.114 2.665 6.964
O -2.114 3.200 6.964
O 5.046 4.031 6.132
O -1.099 7.979 2.665
O -1.833 5.597 5.046
O -3.200 6.964 3.751
O 0.268 6.683 4.031
O -1.099 2.114 9.064
O 4.031 6.132 5.046
```

Calculated values
Total DFT energy (no corrections)   -7.081 eV/atom

Entry 4:
Compound: LiZrO3
Source: OQMD
Functional: GGA-PBE
Structure: optimized geometry

```
5
Lattice="4.129 0.000 0.000 0.000 4.129 0.000 0.000 0.000 4.188" Properties=species:S:1:pos:R:3 pbc="T T T"
Li 0.000 0.000 0.000
Zr 2.065 2.065 3.448
O 0.000 2.065 3.700
O 2.065 0.000 3.700
O 2.065 2.065 1.403
```

Calculated values
Total DFT energy (no corrections)   -7.375 eV/atom

Entry 5:
Compound: HfCo2Os
Source: OQMD
Functional: GGA-PBE
Structure: optimized geometry

```
4
Lattice="0.000 3.061 3.061 3.061 0.000 3.061 3.061 3.061 0.000" Properties=species:S:1:pos:R:3 pbc="T T T"
Hf 0.000 0.000 0.000
Co 1.531 1.531 1.531
Co 3.061 3.061 3.061
Os 4.592 4.592 4.592
```

Calculated values
Total DFT energy (no corrections)   -8.847 eV/atom

Entry 6:
Compound: Ho2ErAl3Cu3
Source: OQMD
Functional: GGA-PBE
Structure: optimized geometry

```
9
Lattice="3.978 0.000 0.000 0.000 6.059 3.498 0.000 -6.059 3.498" Properties=species:S:1:pos:R:3 pbc="T T T"
Ho 0.000 -3.546 3.498
Ho 0.000 3.546 3.498
Er 0.000 0.000 2.644
Al 1.989 0.000 0.208
Al 1.989 -1.435 4.712
Al 1.989 1.435 4.712
Cu 0.000 0.000 5.539
Cu 1.989 -2.012 2.047
Cu 1.989 2.012 2.047
```

Calculated values
Total DFT energy (no corrections)   -4.473 eV/atom

Entry 7:
Compound: KLaFeS3
Source: OQMD
Functional: GGA-PBE
Structure: optimized geometry

```
12
Lattice="2.068 -6.934 0.000 2.068 6.934 0.000 0.000 0.000 11.121" Properties=species:S:1:pos:R:3 pbc="T T T"
K 2.068 3.561 8.341
K 2.068 -3.561 2.780
La 2.068 0.000 0.000
La 2.068 0.000 5.561
Fe 2.068 6.507 2.780
Fe 2.068 -6.507 8.341
S 2.068 5.178 0.915
S 2.068 5.178 4.646
S 2.068 0.802 2.780
S 2.068 -0.802 8.341
S 2.068 -5.178 6.475
S 2.068 -5.178 10.206
```

Calculated values
ΔE to the lowest computed polymorph   9.4 meV/atom

Entry 8:
Compound: GdDyBe
Source: OQMD
Functional: GGA-PBE
Structure: optimized geometry

```
3
Lattice="0.000 3.353 3.353 3.353 0.000 3.353 3.353 3.353 0.000" Properties=species:S:1:pos:R:3 pbc="T T T"
Gd 0.000 0.000 0.000
Dy 5.030 5.030 5.030
Be 3.353 3.353 3.353
```

Calculated values
Total DFT energy (no corrections)   -3.402 eV/atom

Entry 9:
Compound: Rb2Pt2S
Source: OQMD
Functional: GGA-PBE
Structure: optimized geometry

```
5
Lattice="-2.091 2.714 5.594 2.091 -2.714 5.594 2.091 2.714 -5.594" Properties=species:S:1:pos:R:3 pbc="T T T"
Rb 0.000 0.000 2.278
Rb 0.000 0.000 8.909
Pt 2.091 1.338 0.000
Pt 0.000 1.376 5.594
S 0.000 2.714 0.000
```

Calculated values
Total DFT energy (no corrections)   -3.871 eV/atom

Entry 10:
Compound: DyHfPbC
Source: OQMD
Functional: GGA-PBE
Structure: optimized geometry

```
8
Lattice="3.475 0.000 0.000 -1.738 3.010 0.000 0.000 0.000 15.480" Properties=species:S:1:pos:R:3 pbc="T T T"
Dy 0.000 0.000 2.708
Dy 0.000 0.000 12.772
Hf 1.738 1.003 5.257
Hf 1.738 1.003 10.224
Pb 0.000 0.000 7.740
Pb 1.738 1.003 0.000
C 0.000 2.007 4.176
C 0.000 2.007 11.305
```

Calculated values
ΔE to the lowest computed polymorph   9.4 meV/atom

Entry 11:
Compound: LuMgCoSb
Source: OQMD
Functional: GGA-PBE
Structure: optimized geometry

```
4
Lattice="0.000 3.338 3.338 3.338 0.000 3.338 3.338 3.338 0.000" Properties=species:S:1:pos:R:3 pbc="T T T"
Lu 0.000 0.000 0.000
Mg 1.669 1.669 1.669
Co 5.007 5.007 5.007
Sb 3.338 3.338 3.338
```

Calculated values
ΔE to the lowest computed polymorph   0.0 meV/atom

Entry 12:
Compound: LaZn4F3
Source: OQMD
Functional: GGA-PBE
Structure: optimized geometry

```
8
Lattice="5.499 0.000 0.000 0.000 5.499 0.000 0.000 0.000 5.499" Properties=species:S:1:pos:R:3 pbc="T T T"
La 0.000 0.000 0.000
Zn 0.000 0.000 2.750
Zn 0.000 2.750 0.000
Zn 2.750 0.000 0.000
Zn 2.750 2.750 2.750
F 0.000 2.750 2.750
F 2.750 0.000 2.750
F 2.750 2.750 0.000
```

Calculated values
Total DFT energy (no corrections)   -2.342 eV/atom

Entry 13:
Compound: Ho2Er2CI2Br3
Source: OQMD
Functional: GGA-PBE
Structure: optimized geometry

```
10
Lattice="9.216 -1.917 0.000 9.216 1.917 0.000 -1.642 0.000 7.979" Properties=species:S:1:pos:R:3 pbc="T T T"
Ho 2.323 0.000 0.538
Ho 14.467 0.000 7.440
Er 8.871 0.000 1.575
Er 7.919 0.000 6.403
C 0.000 0.000 0.000
I 5.749 0.000 1.539
I 11.041 0.000 6.439
Br -0.821 0.000 3.989
Br 5.258 0.000 5.335
Br 11.532 0.000 2.643
```

Calculated values
Total DFT energy (no corrections)   -4.837 eV/atom

Entry 14:
Compound: BaPrGe2Ir
Source: OQMD
Functional: GGA-PBE
Structure: optimized geometry

```
10
Lattice="5.802 -2.207 0.000 5.802 2.207 0.000 -5.610 0.000 10.046" Properties=species:S:1:pos:R:3 pbc="T T T"
Ba 1.485 0.000 1.014
Ba 4.509 0.000 9.033
Pr -1.935 0.000 3.466
Pr -3.675 0.000 6.580
Ge 1.523 0.000 4.292
Ge 1.057 0.000 8.322
Ge 4.937 0.000 1.724
Ge 4.471 0.000 5.754
Ir -0.211 0.000 6.121
Ir 6.205 0.000 3.925
```

Calculated values
Total DFT energy (no corrections)   -5.640 eV/atom

Entry 15:
Compound: Cu2Ag3
Source: OQMD
Functional: GGA-PBE
Structure: optimized geometry

```
10
Lattice="6.220 0.000 0.000 0.000 3.962 0.000 -0.068 0.000 6.316" Properties=species:S:1:pos:R:3 pbc="T T T"
Cu 0.000 0.000 0.000
Cu 0.533 1.981 4.455
Cu 1.197 0.000 2.507
Cu 4.435 1.981 5.688
Ag 1.840 1.981 0.578
Ag 2.348 0.000 5.000
Ag 3.019 1.981 3.165
Ag 3.772 0.000 1.198
Ag 5.024 0.000 3.897
Ag 5.649 1.981 1.908
```

Calculated values
ΔE to the lowest computed polymorph   55.3 meV/atom

Entry 16:
Compound: TaBeNiAg
Source: OQMD
Functional: GGA-PBE
Structure: optimized geometry

```
4
Lattice="0.000 3.028 3.028 3.028 0.000 3.028 3.028 3.028 0.000" Properties=species:S:1:pos:R:3 pbc="T T T"
Ta 0.000 0.000 0.000
Be 1.514 1.514 1.514
Ni 3.028 3.028 3.028
Ag 4.542 4.542 4.542
```

Calculated values
ΔE to the lowest computed polymorph   241.5 meV/atom

Entry 17:
Compound: Nb2MoPt
Source: OQMD
Functional: GGA-PBE
Structure: optimized geometry

```
4
Lattice="0.000 3.229 3.229 3.229 0.000 3.229 3.229 3.229 0.000" Properties=species:S:1:pos:R:3 pbc="T T T"
Nb 0.000 0.000 0.000
Nb 1.615 1.615 1.615
Mo 4.844 4.844 4.844
Pt 3.229 3.229 3.229
```

Calculated values
Total DFT energy (no corrections)   -9.346 eV/atom

Entry 18:
Compound: HoCo3
Source: OQMD
Functional: GGA-PBE
Structure: optimized geometry

```
12
Lattice="2.471 1.426 8.071 -2.471 1.426 8.071 0.000 -2.853 8.071" Properties=species:S:1:pos:R:3 pbc="T T T"
Ho 0.000 0.000 0.000
Ho 0.000 0.000 3.385
Ho 0.000 0.000 20.828
Co -1.243 -0.717 10.041
Co 0.000 0.000 8.095
Co 0.000 -1.435 14.172
Co -1.243 0.717 14.172
Co 0.000 0.000 12.107
Co 1.243 -0.717 10.041
Co 0.000 1.435 10.041
Co 0.000 0.000 16.118
Co 1.243 0.717 14.172
```

Calculated values
Total DFT energy (no corrections)   -6.664 eV/atom

Entry 19:
Compound: HoOsAu
Source: OQMD
Functional: GGA-PBE
Structure: optimized geometry

```
3
Lattice="0.000 3.225 3.225 3.225 0.000 3.225 3.225 3.225 0.000" Properties=species:S:1:pos:R:3 pbc="T T T"
Ho 0.000 0.000 0.000
Os 4.837 4.837 4.837
Au 3.225 3.225 3.225
```

Calculated values
ΔE to the lowest computed polymorph   0.0 meV/atom

Entry 20:
Compound: KRbZnF4
Source: OQMD
Functional: GGA-PBE
Structure: optimized geometry

```
7
Lattice="-2.020 2.020 6.623 2.020 -2.020 6.623 2.020 2.020 -6.623" Properties=species:S:1:pos:R:3 pbc="T T T"
K 0.000 0.000 0.000
Rb 0.000 0.000 9.332
Zn 0.000 0.000 4.686
F 0.000 0.000 2.620
F 2.020 0.000 4.729
F 0.000 0.000 6.723
F 0.000 2.020 4.729
```

Calculated values
Total DFT energy (no corrections)   -4.132 eV/atom

Entry 21:
Compound: ZrInFeTc
Source: OQMD
Functional: GGA-PBE
Structure: optimized geometry

```
4
Lattice="0.000 3.231 3.231 3.231 0.000 3.231 3.231 3.231 0.000" Properties=species:S:1:pos:R:3 pbc="T T T"
Zr 0.000 0.000 0.000
In 3.231 3.231 3.231
Fe 4.847 4.847 4.847
Tc 1.616 1.616 1.616
```

Calculated values
ΔE to the lowest computed polymorph   0.0 meV/atom